HoTmZn2Sn2 | GGA-PBE | relaxed

Energy relative to the lowest polymorph listed for this composition, meV/atom: 4

abc: 4.4890 4.4890 15.6357
angles: 90.00 90.00 120.00
Space group P6_3/mmc (No. 194)
One atom of each set of equivalent atoms:
Ho 0.0000 0.0000 0.2500 [2 per cell]
Tm 0.0000 0.0000 0.0000 [2 per cell]
Zn 0.3333 0.6667 0.1606 [4 per cell]
Sn 0.3333 0.6667 0.6120 [4 per cell]

---

HoUSn | GGA-PBE | relaxed

Energy relative to the lowest polymorph listed for this composition, meV/atom: 0

abc: 7.1844 7.1844 7.1844
angles: 90.00 90.00 90.00
Space group F-43m (No. 216)
One atom of each set of equivalent atoms:
Ho 0.0000 0.0000 0.0000 [4 per cell]
U 0.2500 0.2500 0.2500 [4 per cell]
Sn 0.2500 0.2500 0.7500 [4 per cell]

---

YHoSn4 | GGA-PBE | relaxed

Final energy, eV/cell: -61.24

abc: 4.3422 4.4253 16.3462
angles: 90.00 90.00 90.00
Space group Amm2 (No. 38)
One atom of each set of equivalent atoms:
Y 0.0000 0.0000 0.0000 [2 per cell]
Ho 0.5000 0.0000 0.8028 [2 per cell]
Sn 0.0000 0.0000 0.3373 [2 per cell]
Sn 0.0000 0.0000 0.6500 [2 per cell]
Sn 0.5000 0.0000 0.1539 [2 per cell]
Sn 0.5000 0.0000 0.4649 [2 per cell]

---

HoZnSn2 | GGA-PBE | relaxed

Final energy, eV/cell: -31.22

abc: 4.3492 4.3492 9.8281
angles: 90.00 90.00 90.00
Space group P4/nmm (No. 129, origin choice 2)
One atom of each set of equivalent atoms:
Ho 0.2500 0.2500 0.2498 [2 per cell]
Zn 0.2500 0.7500 0.0000 [2 per cell]
Sn 0.2500 0.2500 0.8115 [2 per cell]
Sn 0.2500 0.7500 0.5000 [2 per cell]

---

Sr2Ho | GGA-PBE | relaxed

Energy relative to the lowest polymorph listed for this composition, meV/atom: 0

abc: 10.2716 10.2716 10.2716
angles: 90.00 90.00 90.00
Space group Fd-3m (No. 227, origin choice 2)
One atom of each set of equivalent atoms:
Sr 0.0000 0.0000 0.0000 [16 per cell]
Ho 0.1250 0.1250 0.6250 [8 per cell]

---

Sr2Ho | GGA-PBE | relaxed

Energy relative to the lowest polymorph listed for this composition, meV/atom: 2114

abc: 16.6229 16.6229 16.6229
angles: 90.00 90.00 90.00
Space group Fd-3m (No. 227, origin choice 2)
One atom of each set of equivalent atoms:
Sr 0.0000 0.0000 0.0000 [16 per cell]
Ho 0.1250 0.1250 0.1250 [8 per cell]

---

SrHoTe | GGA-PBE | relaxed

Energy relative to the lowest polymorph listed for this composition, meV/atom: 0

abc: 7.4384 7.4384 7.4384
angles: 90.00 90.00 90.00
Space group F-43m (No. 216)
One atom of each set of equivalent atoms:
Sr 0.0000 0.0000 0.0000 [4 per cell]
Ho 0.0000 0.0000 0.5000 [4 per cell]
Te 0.2500 0.2500 0.7500 [4 per cell]

---

SrHoZnTe3 | GGA-PBE | relaxed

Final energy, eV/cell: -93.26

abc: 4.3154 15.2939 11.1399
angles: 90.00 90.00 90.00
Space group Cmcm (No. 63)
One atom of each set of equivalent atoms:
Sr 0.0000 0.2340 0.2500 [4 per cell]
Ho 0.0000 0.0000 0.0000 [4 per cell]
Zn 0.0000 0.4737 0.7500 [4 per cell]
Te 0.0000 0.0898 0.7500 [4 per cell]
Te 0.0000 0.3607 0.5578 [8 per cell]